First-principles (PBE) data for crystalline GdTmLuHg at its relaxed geometry, as listed in Alexandria via LeMat-Bulk.

Cell and atoms, written as CIF:
```
data_GdTmLuHg
_chemical_formula_sum 'Gd4 Tm4 Lu4 Hg4'
_cell_length_a 7.588
_cell_length_b 7.588
_cell_length_c 7.588
_cell_angle_alpha 90.00
_cell_angle_beta 90.00
_cell_angle_gamma 90.00
_symmetry_space_group_name_H-M 'P 1'
_symmetry_Int_Tables_number 1
_symmetry_space_group_name_Hall 'P 1'
loop_
_atom_site_label
_atom_site_type_symbol
_atom_site_fract_x
_atom_site_fract_y
_atom_site_fract_z
_atom_site_occupancy
Gd1 Gd 0.000 0.000 0.000 1
Gd2 Gd 0.000 0.500 0.500 1
Gd3 Gd 0.500 0.000 0.500 1
Gd4 Gd 0.500 0.500 0.000 1
Tm1 Tm 0.000 0.000 0.500 1
Tm2 Tm 0.000 0.500 0.000 1
Tm3 Tm 0.500 0.000 0.000 1
Tm4 Tm 0.500 0.500 0.500 1
Lu1 Lu 0.250 0.250 0.250 1
Lu2 Lu 0.250 0.750 0.750 1
Lu3 Lu 0.750 0.250 0.750 1
Lu4 Lu 0.750 0.750 0.250 1
Hg1 Hg 0.250 0.250 0.750 1
Hg2 Hg 0.250 0.750 0.250 1
Hg3 Hg 0.750 0.250 0.250 1
Hg4 Hg 0.750 0.750 0.750 1
```

SG	F-43m, No. 216
E_form	-0.067	eV/atom

---

First-principles (PBE) data for crystalline GdLuZnHg at its relaxed geometry, as listed in Alexandria via LeMat-Bulk.

Cell and atoms, written as CIF:
```
data_GdLuZnHg
_chemical_formula_sum 'Gd4 Lu4 Zn4 Hg4'
_cell_length_a 7.278
_cell_length_b 7.278
_cell_length_c 7.278
_cell_angle_alpha 90.00
_cell_angle_beta 90.00
_cell_angle_gamma 90.00
_symmetry_space_group_name_H-M 'P 1'
_symmetry_Int_Tables_number 1
_symmetry_space_group_name_Hall 'P 1'
loop_
_atom_site_label
_atom_site_type_symbol
_atom_site_fract_x
_atom_site_fract_y
_atom_site_fract_z
_atom_site_occupancy
Gd1 Gd 0.000 0.000 0.000 1
Gd2 Gd 0.000 0.500 0.500 1
Gd3 Gd 0.500 0.000 0.500 1
Gd4 Gd 0.500 0.500 0.000 1
Lu1 Lu 0.000 0.000 0.500 1
Lu2 Lu 0.000 0.500 0.000 1
Lu3 Lu 0.500 0.000 0.000 1
Lu4 Lu 0.500 0.500 0.500 1
Zn1 Zn 0.250 0.250 0.250 1
Zn2 Zn 0.250 0.750 0.750 1
Zn3 Zn 0.750 0.250 0.750 1
Zn4 Zn 0.750 0.750 0.250 1
Hg1 Hg 0.250 0.250 0.750 1
Hg2 Hg 0.250 0.750 0.250 1
Hg3 Hg 0.750 0.250 0.250 1
Hg4 Hg 0.750 0.750 0.750 1
```

SG	F-43m, No. 216
E_form	-0.395	eV/atom

---

First-principles (PBE) data for crystalline GdMg2Hg at its relaxed geometry, as listed in Alexandria via LeMat-Bulk.

Cell and atoms, written as CIF:
```
data_GdMg2Hg
_chemical_formula_sum 'Gd1 Mg2 Hg1'
_cell_length_a 4.485
_cell_length_b 4.485
_cell_length_c 4.889
_cell_angle_alpha 90.00
_cell_angle_beta 90.00
_cell_angle_gamma 90.00
_symmetry_space_group_name_H-M 'P 1'
_symmetry_Int_Tables_number 1
_symmetry_space_group_name_Hall 'P 1'
loop_
_atom_site_label
_atom_site_type_symbol
_atom_site_fract_x
_atom_site_fract_y
_atom_site_fract_z
_atom_site_occupancy
Gd1 Gd 0.000 0.000 0.000 1
Mg1 Mg 0.000 0.500 0.500 1
Mg2 Mg 0.500 0.000 0.500 1
Hg1 Hg 0.500 0.500 0.000 1
```

SG	P4/mmm, No. 123
E_form	-0.236	eV/atom
offset from the most stable computed form	0.00	eV/f.u.

---

First-principles (PBE) data for crystalline GdMg2Hg at its relaxed geometry, as listed in Alexandria via LeMat-Bulk.

Cell and atoms, written as CIF:
```
data_GdMg2Hg
_chemical_formula_sum 'Gd4 Mg8 Hg4'
_cell_length_a 7.170
_cell_length_b 7.170
_cell_length_c 7.170
_cell_angle_alpha 90.00
_cell_angle_beta 90.00
_cell_angle_gamma 90.00
_symmetry_space_group_name_H-M 'P 1'
_symmetry_Int_Tables_number 1
_symmetry_space_group_name_Hall 'P 1'
loop_
_atom_site_label
_atom_site_type_symbol
_atom_site_fract_x
_atom_site_fract_y
_atom_site_fract_z
_atom_site_occupancy
Gd1 Gd 0.000 0.000 0.000 1
Gd2 Gd 0.000 0.500 0.500 1
Gd3 Gd 0.500 0.000 0.500 1
Gd4 Gd 0.500 0.500 0.000 1
Mg1 Mg 0.250 0.250 0.250 1
Mg2 Mg 0.250 0.250 0.750 1
Mg3 Mg 0.250 0.750 0.250 1
Mg4 Mg 0.250 0.750 0.750 1
Mg5 Mg 0.750 0.250 0.250 1
Mg6 Mg 0.750 0.250 0.750 1
Mg7 Mg 0.750 0.750 0.250 1
Mg8 Mg 0.750 0.750 0.750 1
Hg1 Hg 0.000 0.000 0.500 1
Hg2 Hg 0.000 0.500 0.000 1
Hg3 Hg 0.500 0.000 0.000 1
Hg4 Hg 0.500 0.500 0.500 1
```

SG	Fm-3m, No. 225
E_form	-0.155	eV/atom
offset from the most stable computed form	0.33	eV/f.u.

---

First-principles (PBE) data for crystalline GdMg2Hg at its relaxed geometry, as listed in Alexandria via LeMat-Bulk.

Cell and atoms, written as CIF:
```
data_GdMg2Hg
_chemical_formula_sum 'Gd3 Mg6 Hg3'
_cell_length_a 3.281
_cell_length_b 3.281
_cell_length_c 33.617
_cell_angle_alpha 90.00
_cell_angle_beta 90.00
_cell_angle_gamma 120.00
_symmetry_space_group_name_H-M 'P 1'
_symmetry_Int_Tables_number 1
_symmetry_space_group_name_Hall 'P 1'
loop_
_atom_site_label
_atom_site_type_symbol
_atom_site_fract_x
_atom_site_fract_y
_atom_site_fract_z
_atom_site_occupancy
Gd1 Gd 0.000 0.000 0.000 1
Gd2 Gd 0.333 0.667 0.667 1
Gd3 Gd 0.667 0.333 0.333 1
Mg1 Mg 0.000 0.000 0.096 1
Mg2 Mg 0.000 0.000 0.904 1
Mg3 Mg 0.333 0.667 0.571 1
Mg4 Mg 0.333 0.667 0.763 1
Mg5 Mg 0.667 0.333 0.237 1
Mg6 Mg 0.667 0.333 0.429 1
Hg1 Hg 0.000 0.000 0.500 1
Hg2 Hg 0.333 0.667 0.167 1
Hg3 Hg 0.667 0.333 0.833 1
```

SG	R-3m, No. 166
E_form	0.108	eV/atom
offset from the most stable computed form	1.38	eV/f.u.

---

First-principles (PBE) data for crystalline NaGdMgHg at its relaxed geometry, as listed in Alexandria via LeMat-Bulk.

Cell and atoms, written as CIF:
```
data_NaGdMgHg
_chemical_formula_sum 'Na4 Gd4 Mg4 Hg4'
_cell_length_a 7.294
_cell_length_b 7.294
_cell_length_c 7.294
_cell_angle_alpha 90.00
_cell_angle_beta 90.00
_cell_angle_gamma 90.00
_symmetry_space_group_name_H-M 'P 1'
_symmetry_Int_Tables_number 1
_symmetry_space_group_name_Hall 'P 1'
loop_
_atom_site_label
_atom_site_type_symbol
_atom_site_fract_x
_atom_site_fract_y
_atom_site_fract_z
_atom_site_occupancy
Na1 Na 0.000 0.000 0.000 1
Na2 Na 0.000 0.500 0.500 1
Na3 Na 0.500 0.000 0.500 1
Na4 Na 0.500 0.500 0.000 1
Gd1 Gd 0.250 0.250 0.750 1
Gd2 Gd 0.250 0.750 0.250 1
Gd3 Gd 0.750 0.250 0.250 1
Gd4 Gd 0.750 0.750 0.750 1
Mg1 Mg 0.250 0.250 0.250 1
Mg2 Mg 0.250 0.750 0.750 1
Mg3 Mg 0.750 0.250 0.750 1
Mg4 Mg 0.750 0.750 0.250 1
Hg1 Hg 0.000 0.000 0.500 1
Hg2 Hg 0.000 0.500 0.000 1
Hg3 Hg 0.500 0.000 0.000 1
Hg4 Hg 0.500 0.500 0.500 1
```

SG	F-43m, No. 216
E_form	-0.163	eV/atom

---

First-principles (PBE) data for crystalline NdGdMgHg at its relaxed geometry, as listed in Alexandria via LeMat-Bulk.

Cell and atoms, written as CIF:
```
data_NdGdMgHg
_chemical_formula_sum 'Nd4 Gd4 Mg4 Hg4'
_cell_length_a 7.631
_cell_length_b 7.631
_cell_length_c 7.631
_cell_angle_alpha 90.00
_cell_angle_beta 90.00
_cell_angle_gamma 90.00
_symmetry_space_group_name_H-M 'P 1'
_symmetry_Int_Tables_number 1
_symmetry_space_group_name_Hall 'P 1'
loop_
_atom_site_label
_atom_site_type_symbol
_atom_site_fract_x
_atom_site_fract_y
_atom_site_fract_z
_atom_site_occupancy
Nd1 Nd 0.000 0.000 0.000 1
Nd2 Nd 0.000 0.500 0.500 1
Nd3 Nd 0.500 0.000 0.500 1
Nd4 Nd 0.500 0.500 0.000 1
Gd1 Gd 0.000 0.000 0.500 1
Gd2 Gd 0.000 0.500 0.000 1
Gd3 Gd 0.500 0.000 0.000 1
Gd4 Gd 0.500 0.500 0.500 1
Mg1 Mg 0.250 0.250 0.750 1
Mg2 Mg 0.250 0.750 0.250 1
Mg3 Mg 0.750 0.250 0.250 1
Mg4 Mg 0.750 0.750 0.750 1
Hg1 Hg 0.250 0.250 0.250 1
Hg2 Hg 0.250 0.750 0.750 1
Hg3 Hg 0.750 0.250 0.750 1
Hg4 Hg 0.750 0.750 0.250 1
```

SG	F-43m, No. 216
E_form	-0.283	eV/atom

---

First-principles (PBE) data for crystalline GdMgHgPd at its relaxed geometry, as listed in Alexandria via LeMat-Bulk.

Cell and atoms, written as CIF:
```
data_GdMgHgPd
_chemical_formula_sum 'Gd4 Mg4 Hg4 Pd4'
_cell_length_a 7.025
_cell_length_b 7.025
_cell_length_c 7.025
_cell_angle_alpha 90.00
_cell_angle_beta 90.00
_cell_angle_gamma 90.00
_symmetry_space_group_name_H-M 'P 1'
_symmetry_Int_Tables_number 1
_symmetry_space_group_name_Hall 'P 1'
loop_
_atom_site_label
_atom_site_type_symbol
_atom_site_fract_x
_atom_site_fract_y
_atom_site_fract_z
_atom_site_occupancy
Gd1 Gd 0.000 0.000 0.000 1
Gd2 Gd 0.000 0.500 0.500 1
Gd3 Gd 0.500 0.000 0.500 1
Gd4 Gd 0.500 0.500 0.000 1
Mg1 Mg 0.000 0.000 0.500 1
Mg2 Mg 0.000 0.500 0.000 1
Mg3 Mg 0.500 0.000 0.000 1
Mg4 Mg 0.500 0.500 0.500 1
Hg1 Hg 0.250 0.250 0.750 1
Hg2 Hg 0.250 0.750 0.250 1
Hg3 Hg 0.750 0.250 0.250 1
Hg4 Hg 0.750 0.750 0.750 1
Pd1 Pd 0.250 0.250 0.250 1
Pd2 Pd 0.250 0.750 0.750 1
Pd3 Pd 0.750 0.250 0.750 1
Pd4 Pd 0.750 0.750 0.250 1
```

SG	F-43m, No. 216
E_form	-0.563	eV/atom